Record 1
Computed, not measured: an optimized crystal structure of TlCoSn2Hg at the PBE level of DFT.

Cell lengths 4.9186, 4.9186, 5.2032 Å; angles 90.00, 90.00, 90.00 degrees
Last column: nearest neighbours and their distance in Å.
Space group P4/mmm (No. 123)
Asymmetric unit:
Tl (0.0000, 0.0000, 0.0000) [1 per cell]  4 Hg 3.48, 8 Sn 3.58
Co (0.5000, 0.5000, 0.5000) [1 per cell]  4 Sn 2.46, 2 Hg 2.60
Sn (0.0000, 0.5000, 0.5000) [2 per cell]  2 Co 2.46
Hg (0.5000, 0.5000, 0.0000) [1 per cell]  2 Co 2.60

energy = -17.4 eV per cell
DOS at the Fermi energy = 0.712 states/eV per atom
formation energy from the elements = 0.078 eV per atom
M_tot = 0.00 μB per formula unit
offset from the most stable computed form = 0 kJ/mol of formula units

=====

Record 2
Computed, not measured: an optimized crystal structure of HoU6S8 at the PBE level of DFT.

Cell lengths 10.9047, 10.9047, 10.9047 Å; angles 90.00, 90.00, 90.00 degrees
Last column: nearest neighbours and their distance in Å.
Space group Fm-3m (No. 225)
Asymmetric unit:
Ho (0.0000, 0.0000, 0.0000) [4 per cell]  6 S 2.76
U (0.0000, 0.2500, 0.2500) [24 per cell]  6 S 2.73
S (0.0000, 0.0000, 0.2531) [24 per cell]  4 U 2.73, 1 Ho 2.76
S (0.2500, 0.2500, 0.2500) [8 per cell]  6 U 2.73

energy = -509.4 eV per cell
DOS at the Fermi energy = 2.310 states/eV per atom
formation energy from raw total energies = -1469 meV/atom
M_tot = 13.32 μB per formula unit
offset from the most stable computed form = 0 kJ/mol of formula units